VASP calculation (PBE) on a geometry-optimized MgSc2Cu4 structure.

The magnetization comes out at 0.000 Bohr magnetons per cell. The calculation puts the electronic total energy at -4.3336 eV per atom.

a = 7.684 Å, b = 7.684 Å, c = 7.684 Å
α = 33.67°, β = 33.67°, γ = 33.67°
Positions (direct):
Mg 0.000 0.000 0.000
Sc 0.247 0.247 0.247
Sc 0.753 0.753 0.753
Cu 0.125 0.125 0.125
Cu 0.373 0.373 0.373
Cu 0.627 0.627 0.627
Cu 0.875 0.875 0.875